VASP calculation (GGA-PBEsol) on a relaxed TaCrB4 crystal.

a b c (Å): 3.0576 3.0576 6.1217
angles (deg): 90.00 90.00 120.00
Space group P6/mmm (No. 191)
Symmetry-distinct sites (fractional):
Ta (0.0000, 0.0000, 0.0000) [1 per cell]
Cr (0.0000, 0.0000, 0.5000) [1 per cell]
B (0.3333, 0.6667, 0.2679) [4 per cell]

Properties
Mass density ... 9.25 g/cm³
Crystal system ... hexagonal
ΔE_f ... -0.570 eV/atom
Density of states at the Fermi level ... 3.07 states/eV/cell



VASP calculation (GGA-PBEsol) on a relaxed CrTcB2 crystal.

a b c (Å): 5.261 5.261 5.261
angles (deg): 90.00 90.00 90.00
Space group Fm-3m (No. 225)
Symmetry-distinct sites (fractional):
Cr (0.000, 0.000, 0.000) [4 per cell]
Tc (0.000, 0.000, 0.500) [4 per cell]
B (0.250, 0.250, 0.250) [8 per cell]

Properties
Mass density ... 7.83 g/cm³
Crystal system ... cubic
ΔE_f ... 0.079 eV/atom
Density of states at the Fermi level ... 12.87 states/eV/cell



VASP calculation (GGA-PBEsol) on a relaxed CrB3Te crystal.

a b c (Å): 4.385 4.385 4.385
angles (deg): 90.00 90.00 90.00
Space group Pm-3m (No. 221)
Symmetry-distinct sites (fractional):
Cr (0.000, 0.000, 0.000) [1 per cell]
B (0.000, 0.500, 0.500) [3 per cell]
Te (0.500, 0.500, 0.500) [1 per cell]

Properties
Mass density ... 4.18 g/cm³
Crystal system ... cubic
Energy relative to the elements, uncorrected ... 2470.0 meV/atom
Density of states at the Fermi level ... 3.02 states/eV/cell



VASP calculation (GGA-PBEsol) on a relaxed TiCrB4 crystal.

a b c (Å): 3.0040 3.0040 6.0522
angles (deg): 90.00 90.00 120.00
Space group P6/mmm (No. 191)
Symmetry-distinct sites (fractional):
Ti (0.0000, 0.0000, 0.0000) [1 per cell]
Cr (0.0000, 0.0000, 0.5000) [1 per cell]
B (0.3333, 0.6667, 0.2600) [4 per cell]

Properties
Mass density ... 5.02 g/cm³
Crystal system ... hexagonal
ΔE_f ... -0.753 eV/atom
Density of states at the Fermi level ... 3.37 states/eV/cell



VASP calculation (GGA-PBEsol) on a relaxed Ti2CrB2 crystal.

a b c (Å): 5.789 5.789 3.106
angles (deg): 90.00 90.00 90.00
Space group P4/mbm (No. 127)
Symmetry-distinct sites (fractional):
Ti (0.183, 0.317, 0.000) [4 per cell]
Cr (0.000, 0.000, 0.500) [2 per cell]
B (0.109, 0.609, 0.500) [4 per cell]

Properties
Mass density ... 5.40 g/cm³
Crystal system ... tetragonal
ΔE_f ... -0.703 eV/atom
Density of states at the Fermi level ... 5.99 states/eV/cell



VASP calculation (GGA-PBEsol) on a relaxed VCrB2 crystal.

a b c (Å): 2.912 2.955 7.860
angles (deg): 90.00 90.00 90.00
Space group Amm2 (No. 38)
Symmetry-distinct sites (fractional):
V (0.000, 0.000, 0.000) [2 per cell]
Cr (0.500, 0.000, 0.706) [2 per cell]
B (0.000, 0.000, 0.288) [2 per cell]
B (0.500, 0.000, 0.416) [2 per cell]

Properties
Mass density ... 6.12 g/cm³
Crystal system ... orthorhombic
ΔE_f ... -0.753 eV/atom
Density of states at the Fermi level ... 4.25 states/eV/cell



VASP calculation (GGA-PBEsol) on a relaxed YCrB4 crystal.

a b c (Å): 5.892 11.387 3.397
angles (deg): 90.00 90.00 90.00
Space group Pbam (No. 55)
Symmetry-distinct sites (fractional):
Y (0.125, 0.151, 0.000) [4 per cell]
Cr (0.122, 0.421, 0.000) [4 per cell]
B (0.025, 0.692, 0.500) [4 per cell]
B (0.113, 0.547, 0.500) [4 per cell]
B (0.137, 0.967, 0.500) [4 per cell]
B (0.220, 0.816, 0.500) [4 per cell]

Properties
Mass density ... 5.37 g/cm³
Crystal system ... orthorhombic
ΔE_f ... -0.727 eV/atom
Density of states at the Fermi level ... 0.27 states/eV/cell



VASP calculation (GGA-PBEsol) on a relaxed ZrCrB2 crystal.

a b c (Å): 3.810 3.810 13.772
angles (deg): 90.00 90.00 90.00
Space group I4_1/amd (No. 141, origin choice 2)
Symmetry-distinct sites (fractional):
Zr (0.000, 0.250, 0.375) [4 per cell]
Cr (0.000, 0.250, 0.875) [4 per cell]
B (0.000, 0.000, 0.000) [8 per cell]

Properties
Mass density ... 5.48 g/cm³
Crystal system ... tetragonal
ΔE_f ... 0.138 eV/atom
Density of states at the Fermi level ... 8.12 states/eV/cell



VASP calculation (GGA-PBEsol) on a relaxed Cs2CuB crystal.

a b c (Å): 8.123 8.123 8.123
angles (deg): 90.00 90.00 90.00
Space group Fm-3m (No. 225)
Symmetry-distinct sites (fractional):
Cs (0.250, 0.250, 0.250) [8 per cell]
Cu (0.000, 0.000, 0.000) [4 per cell]
B (0.000, 0.000, 0.500) [4 per cell]

Properties
Mass density ... 4.22 g/cm³
Crystal system ... cubic
ΔE_f ... 1.351 eV/atom
Density of states at the Fermi level ... 16.29 states/eV/cell



VASP calculation (GGA-PBEsol) on a relaxed CsBF4 crystal.

a b c (Å): 9.594 5.700 7.594
angles (deg): 90.00 90.00 90.00
Space group Pnma (No. 62)
Symmetry-distinct sites (fractional):
Cs (0.192, 0.250, 0.159) [4 per cell]
B (0.050, 0.250, 0.702) [4 per cell]
F (0.073, 0.048, 0.807) [8 per cell]
F (0.088, 0.750, 0.359) [4 per cell]
F (0.145, 0.250, 0.560) [4 per cell]

Properties
Mass density ... 3.51 g/cm³
Crystal system ... orthorhombic
Energy relative to the elements, uncorrected ... -3062.8 meV/atom
Density of states at the Fermi level ... 0.00 states/eV/cell



VASP calculation (GGA-PBEsol) on a relaxed CsHgBF2 crystal.

a b c (Å): 4.681 4.681 4.235
angles (deg): 90.00 90.00 90.00
Space group P4/mmm (No. 123)
Symmetry-distinct sites (fractional):
Cs (0.000, 0.000, 0.000) [1 per cell]
Hg (0.500, 0.500, 0.000) [1 per cell]
B (0.500, 0.500, 0.500) [1 per cell]
F (0.000, 0.500, 0.500) [2 per cell]

Properties
Mass density ... 6.84 g/cm³
Crystal system ... tetragonal
Energy relative to the elements, uncorrected ... -924.3 meV/atom



VASP calculation (GGA-PBEsol) on a relaxed Cs2BIrF crystal.

a b c (Å): 5.806 5.806 3.854
angles (deg): 90.00 90.00 90.00
Space group P4/mmm (No. 123)
Symmetry-distinct sites (fractional):
Cs (0.000, 0.500, 0.000) [2 per cell]
B (0.000, 0.000, 0.500) [1 per cell]
Ir (0.500, 0.500, 0.500) [1 per cell]
F (0.000, 0.000, 0.000) [1 per cell]

Properties
Mass density ... 6.23 g/cm³
Crystal system ... tetragonal
Energy relative to the elements, uncorrected ... 833.8 meV/atom
Density of states at the Fermi level ... 6.87 states/eV/cell



VASP calculation (GGA-PBEsol) on a relaxed Cs2Ga2B2O7 crystal.

a b c (Å): 8.850 8.031 12.178
angles (deg): 90.00 103.73 90.00
Space group P2_1/c (No. 14)
Symmetry-distinct sites (fractional):
Cs (0.033, 0.123, 0.130) [4 per cell]
Cs (0.431, 0.618, 0.846) [4 per cell]
Ga (0.186, 0.562, 0.133) [4 per cell]
Ga (0.341, 0.112, 0.888) [4 per cell]
B (0.148, 0.108, 0.421) [4 per cell]
B (0.328, 0.644, 0.564) [4 per cell]
O (0.019, 0.011, 0.375) [4 per cell]
O (0.191, 0.226, 0.353) [4 per cell]
O (0.199, 0.718, 0.590) [4 per cell]
O (0.241, 0.080, 0.528) [4 per cell]
O (0.305, 0.012, 0.016) [4 per cell]
O (0.316, 0.534, 0.272) [4 per cell]
O (0.470, 0.723, 0.590) [4 per cell]

Properties
Mass density ... 4.26 g/cm³
Crystal system ... monoclinic
Energy relative to the elements, uncorrected ... -2159.7 meV/atom
Density of states at the Fermi level ... 0.00 states/eV/cell



VASP calculation (GGA-PBEsol) on a relaxed CsGe3B crystal.

a b c (Å): 5.585 5.585 5.585
angles (deg): 90.00 90.00 90.00
Space group Pm-3m (No. 221)
Symmetry-distinct sites (fractional):
Cs (0.000, 0.000, 0.000) [1 per cell]
Ge (0.000, 0.000, 0.500) [3 per cell]
B (0.500, 0.500, 0.500) [1 per cell]

Properties
Mass density ... 3.45 g/cm³
Crystal system ... cubic
ΔE_f ... 2.689 eV/atom
Density of states at the Fermi level ... 3.28 states/eV/cell



VASP calculation (GGA-PBEsol) on a relaxed CsLiGe2B crystal.

a b c (Å): 5.684 5.684 4.941
angles (deg): 90.00 90.00 90.00
Space group P4/mmm (No. 123)
Symmetry-distinct sites (fractional):
Cs (0.000, 0.000, 0.000) [1 per cell]
Li (0.500, 0.500, 0.500) [1 per cell]
Ge (0.000, 0.500, 0.000) [2 per cell]
B (0.000, 0.000, 0.500) [1 per cell]

Properties
Mass density ... 3.08 g/cm³
Crystal system ... tetragonal
ΔE_f ... 2.036 eV/atom
Density of states at the Fermi level ... 5.37 states/eV/cell



VASP calculation (GGA-PBEsol) on a relaxed CsSn2GeB crystal.

a b c (Å): 5.115 5.115 4.780
angles (deg): 90.00 90.00 90.00
Space group P4/mmm (No. 123)
Symmetry-distinct sites (fractional):
Cs (0.000, 0.000, 0.000) [1 per cell]
Sn (0.000, 0.500, 0.500) [2 per cell]
Ge (0.500, 0.500, 0.000) [1 per cell]
B (0.500, 0.500, 0.500) [1 per cell]

Properties
Mass density ... 6.03 g/cm³
Crystal system ... tetragonal
ΔE_f ... 0.643 eV/atom
Density of states at the Fermi level ... 1.93 states/eV/cell



VASP calculation (GGA-PBEsol) on a relaxed CsB3H3 crystal.

a b c (Å): 9.380 9.380 9.380
angles (deg): 90.00 90.00 90.00
Space group Fm-3m (No. 225)
Symmetry-distinct sites (fractional):
Cs (0.250, 0.250, 0.250) [8 per cell]
B (0.000, 0.000, 0.130) [24 per cell]
H (0.000, 0.000, 0.260) [24 per cell]

Properties
Mass density ... 2.71 g/cm³
Crystal system ... cubic
E ... -4.849 eV per atom
Density of states at the Fermi level ... 0.00 states/eV/cell



VASP calculation (GGA-PBEsol) on a relaxed CsBH4 crystal.

a b c (Å): 7.152 7.152 7.152
angles (deg): 90.00 90.00 90.00
Space group F-43m (No. 216)
Symmetry-distinct sites (fractional):
Cs (0.000, 0.000, 0.000) [4 per cell]
B (0.000, 0.000, 0.500) [4 per cell]
H (0.100, 0.100, 0.400) [16 per cell]

Properties
Mass density ... 2.68 g/cm³
Crystal system ... cubic
E ... -3.910 eV per atom
Density of states at the Fermi level ... 0.00 states/eV/cell



VASP calculation (GGA-PBEsol) on a relaxed Cs3BH crystal.

a b c (Å): 6.195 6.195 6.195
angles (deg): 90.00 90.00 90.00
Space group Pm-3m (No. 221)
Symmetry-distinct sites (fractional):
Cs (0.000, 0.000, 0.500) [3 per cell]
B (0.000, 0.000, 0.000) [1 per cell]
H (0.500, 0.500, 0.500) [1 per cell]

Properties
Mass density ... 2.87 g/cm³
Crystal system ... cubic
E ... -1.752 eV per atom
Density of states at the Fermi level ... 2.70 states/eV/cell



VASP calculation (GGA-PBEsol) on a relaxed CsB3H8 crystal.

a b c (Å): 7.112 8.372 8.597
angles (deg): 90.00 90.00 90.00
Space group Cmcm (No. 63)
Symmetry-distinct sites (fractional):
Cs (0.000, 0.174, 0.250) [4 per cell]
B (0.000, 0.223, 0.647) [8 per cell]
B (0.000, 0.405, 0.750) [4 per cell]
H (0.000, 0.361, 0.585) [8 per cell]
H (0.143, 0.485, 0.750) [8 per cell]
H (0.145, 0.164, 0.597) [16 per cell]

Properties
Mass density ... 2.25 g/cm³
Crystal system ... orthorhombic
E ... -4.265 eV per atom
Density of states at the Fermi level ... 0.00 states/eV/cell